(1)
This record from Alexandria via LeMat-Bulk describes a geometry-optimized AcAl2Au9 structure. The functional is PBE.

## Properties
M_tot: 0.000 μB per cell
DFT formation energy: -4.8 eV/f.u.
Total DFT energy (no corrections): -3.83 eV per atom
SG: I4_1/amd, No. 141
Calculated density: 14.5 Mg/m³

a b c (Å): 8.8651 8.8651 8.8651
angles (deg): 99.42 99.42 132.27
Closest atoms and distances in Å follow each position.
Sites, in units of the cell vectors:
Ac  0.3750  0.6250  0.7500  18 Au 3.43-3.77
Ac  0.6250  0.3750  0.2500  18 Au 3.43-3.77
Al  0.0000  0.0000  0.0000  10 Au 2.73-3.00
Al  0.0000  0.0000  0.5000  10 Au 2.73-3.00
Al  0.0000  0.5000  0.0000  10 Au 2.73-3.00
Al  0.5000  0.0000  0.5000  10 Au 2.73-3.00
Au  0.1250  0.8750  0.2500  8 Au 2.99, 4 Al 3.00
Au  0.1264  0.5593  0.3247  2 Al 2.73-2.75, 6 Au 2.78-3.04
Au  0.1264  0.8017  0.5671  2 Al 2.73-2.75, 6 Au 2.78-3.04
Au  0.1983  0.2654  0.3247  2 Al 2.73-2.75, 6 Au 2.78-3.04
Au  0.1983  0.8736  0.9329  2 Al 2.73-2.75, 6 Au 2.78-3.04
Au  0.2654  0.1983  0.8247  2 Al 2.73-2.75, 6 Au 2.78-3.04
Au  0.2654  0.4407  0.0671  2 Al 2.73-2.75, 6 Au 2.78-3.04
Au  0.4407  0.2654  0.5671  2 Al 2.73-2.75, 6 Au 2.78-3.04
Au  0.4407  0.8736  0.1753  2 Al 2.73-2.75, 6 Au 2.78-3.04
Au  0.5593  0.1264  0.8247  2 Al 2.73-2.75, 6 Au 2.78-3.04
Au  0.5593  0.7346  0.4329  2 Al 2.73-2.75, 6 Au 2.78-3.04
Au  0.7346  0.5593  0.9329  2 Al 2.73-2.75, 6 Au 2.78-3.04
Au  0.7346  0.8017  0.1753  2 Al 2.73-2.75, 6 Au 2.78-3.04
Au  0.8017  0.1264  0.0671  2 Al 2.73-2.75, 6 Au 2.78-3.04
Au  0.8017  0.7346  0.6753  2 Al 2.73-2.75, 6 Au 2.78-3.04
Au  0.8736  0.1983  0.4329  2 Al 2.73-2.75, 6 Au 2.78-3.04
Au  0.8736  0.4407  0.6753  2 Al 2.73-2.75, 6 Au 2.78-3.04
Au  0.8750  0.1250  0.7500  8 Au 2.99, 4 Al 3.00

***

(2)
This record from Alexandria via LeMat-Bulk describes a geometry-optimized MnTlMo2N structure. The functional is PBE.

## Properties
Raw formation energy: 1.041 eV/atom
M_tot: 0.000 μB per cell
Total DFT energy (no corrections): -7.26 eV per atom
SG: P4/mmm, No. 123
Calculated density: 9.6 Mg/m³

a b c (Å): 4.7791 4.7791 3.5145
angles (deg): 90.00 90.00 90.00
Closest atoms and distances in Å follow each position.
Sites, in units of the cell vectors:
Mn  0.0000  0.0000  0.0000  2 N 1.76
Tl  0.5000  0.5000  0.5000  8 Mo 2.97
Mo  0.0000  0.5000  0.0000  2 Mn 2.39
Mo  0.5000  0.0000  0.0000  2 Mn 2.39
N  0.0000  0.0000  0.5000  2 Mn 1.76

***

(3)
This record from Alexandria via LeMat-Bulk describes a geometry-optimized Pa2Al3Ga structure. The functional is PBE.

## Properties
M_tot: 0.021 μB per cell
Energy relative to the lowest polymorph listed for this composition: 14 meV per atom
DFT formation energy: -1.9 eV/f.u.
Total DFT energy (no corrections): -5.85 eV per atom
SG: P6_3/mmc, No. 194
Calculated density: 8.7 Mg/m³

a b c (Å): 5.5623 5.5623 8.7751
angles (deg): 90.00 90.00 120.00
Closest atoms and distances in Å follow each position.
Sites, in units of the cell vectors:
Pa  0.3333  0.6667  0.0867  1 Pa 2.87, 6 Al 3.13
Pa  0.3333  0.6667  0.4133  1 Pa 2.87, 6 Al 3.13
Pa  0.6667  0.3333  0.5867  1 Pa 2.87, 6 Al 3.13
Pa  0.6667  0.3333  0.9133  1 Pa 2.87, 6 Al 3.13
Al  0.1731  0.3462  0.7500  4 Al 2.67-2.89, 2 Ga 2.76
Al  0.1731  0.8269  0.7500  4 Al 2.67-2.89, 2 Ga 2.76
Al  0.3462  0.1731  0.2500  4 Al 2.67-2.89, 2 Ga 2.76
Al  0.6538  0.8269  0.7500  4 Al 2.67-2.89, 2 Ga 2.76
Al  0.8269  0.1731  0.2500  4 Al 2.67-2.89, 2 Ga 2.76
Al  0.8269  0.6538  0.2500  4 Al 2.67-2.89, 2 Ga 2.76
Ga  0.0000  0.0000  0.0000  6 Al 2.76
Ga  0.0000  0.0000  0.5000  6 Al 2.76

***

(4)
This record from Alexandria via LeMat-Bulk describes a geometry-optimized RhPbS2 structure. The functional is PBE.

## Properties
Raw formation energy: -0.185 eV/atom
M_tot: 0.000 μB per cell
Total DFT energy (no corrections): -5.01 eV per atom
SG: I-42d, No. 122
Calculated density: 6.2 Mg/m³

a b c (Å): 6.9502 6.9502 6.9502
angles (deg): 128.27 128.27 76.18
Closest atoms and distances in Å follow each position.
Sites, in units of the cell vectors:
Rh  0.0000  0.0000  0.0000  4 S 2.29
Rh  0.7500  0.2500  0.5000  4 S 2.29
Pb  0.2500  0.7500  0.5000  4 S 2.85
Pb  0.5000  0.5000  0.0000  4 S 2.85
S  0.0461  0.6250  0.9211  2 Rh 2.29
S  0.3750  0.2961  0.4211  2 Rh 2.29
S  0.7039  0.1250  0.0789  2 Rh 2.29
S  0.8750  0.9539  0.5789  2 Rh 2.29

***

(5)
This record from Alexandria via LeMat-Bulk describes a geometry-optimized La2TbPmHo2 structure. The functional is PBE.

## Properties
M_tot: 0.000 μB per cell
DFT formation energy: 0.4 eV/f.u.
Total DFT energy (no corrections): -4.66 eV per atom
SG: Pmma, No. 51
Calculated density: 7.5 Mg/m³

a b c (Å): 7.0913 5.7398 9.9599
angles (deg): 90.00 90.00 90.00
Closest atoms and distances in Å follow each position.
Sites, in units of the cell vectors:
La  0.0000  0.0000  0.0000  6 La 3.55-3.78, 6 Ho 3.76-3.78, 2 Tb 3.79
La  0.2500  0.5000  0.1703  5 Ho 3.30-3.55
La  0.5000  0.0000  0.0000  6 La 3.55-3.78, 6 Ho 3.76-3.78, 2 Tb 3.79
La  0.7500  0.5000  0.8297  5 Ho 3.30-3.55
Tb  0.2500  0.0000  0.6631  5 Ho 3.27-3.55
Tb  0.7500  0.0000  0.3369  5 Ho 3.27-3.55
Pm  0.0000  0.5000  0.5000  2 Pm 3.55, 2 La 3.73, 4 Tb 3.74, 6 Ho 3.75-3.76
Pm  0.5000  0.5000  0.5000  2 Pm 3.55, 2 La 3.73, 4 Tb 3.74, 6 Ho 3.75-3.76
Ho  0.2500  0.0000  0.3348  3 Tb 3.27-3.55, 2 La 3.30
Ho  0.2500  0.5000  0.8325  2 Tb 3.33, 3 La 3.36-3.55
Ho  0.7500  0.0000  0.6652  3 Tb 3.27-3.55, 2 La 3.30
Ho  0.7500  0.5000  0.1675  2 Tb 3.33, 3 La 3.36-3.55

***

(6)
This record from Alexandria via LeMat-Bulk describes a geometry-optimized LiAlFeTc structure. The functional is PBE.

## Properties
M_tot: 0.000 μB per cell
DFT formation energy: -0.5 eV/f.u.
Total DFT energy (no corrections): -6.25 eV per atom
SG: F-43m, No. 216
Calculated density: 6.4 Mg/m³

a b c (Å): 4.1047 4.1047 4.1047
angles (deg): 60.00 60.00 60.00
Closest atoms and distances in Å follow each position.
Sites, in units of the cell vectors:
Li  0.0000  0.0000  0.0000  4 Tc 2.51, 4 Al 2.51
Al  0.2500  0.2500  0.2500  4 Fe 2.51, 4 Li 2.51
Fe  0.5000  0.5000  0.5000  4 Tc 2.51, 4 Al 2.51
Tc  0.7500  0.7500  0.7500  4 Li 2.51, 4 Fe 2.51

***

(7)
This record from Alexandria via LeMat-Bulk describes a geometry-optimized BaCaCl2 structure. The functional is PBE.

## Properties
Raw formation energy: -1.474 eV/atom
M_tot: 0.297 μB per cell
Energy relative to the lowest polymorph listed for this composition: 221 meV per atom
Total DFT energy (no corrections): -3.38 eV per atom
SG: I-4m2, No. 119
Calculated density: 2.8 Mg/m³

a b c (Å): 8.4254 8.4254 8.4254
angles (deg): 150.17 150.17 42.69
Closest atoms and distances in Å follow each position.
Sites, in units of the cell vectors:
Ba  0.0000  0.0000  0.0000  4 Cl 3.07
Ca  0.2500  0.7500  0.5000  4 Cl 3.07
Cl  0.5000  0.5000  0.0000  4 Ba 3.07
Cl  0.7500  0.2500  0.5000  4 Ca 3.07

***

(8)
This record from Alexandria via LeMat-Bulk describes a geometry-optimized K2MnSnBr6 structure. The functional is PBE.

## Properties
Raw formation energy: -1.155 eV/atom
M_tot: 5.000 μB per cell
Total DFT energy (no corrections): -3.70 eV per atom
SG: P-1, No. 2
Calculated density: 3.6 Mg/m³

a b c (Å): 7.7608 7.7624 7.7674
angles (deg): 61.02 61.03 61.03
Closest atoms and distances in Å follow each position.
Sites, in units of the cell vectors:
K  0.2284  0.2290  0.2282  6 Br 3.31-3.56
K  0.7716  0.7710  0.7718  6 Br 3.31-3.56
Mn  0.0000  0.0000  0.0000  6 Br 2.70
Sn  0.5000  0.5000  0.5000  6 Br 2.99
Br  0.1525  0.7707  0.3206  1 Mn 2.70, 1 Sn 2.99
Br  0.2286  0.6800  0.8466  1 Mn 2.70, 1 Sn 2.99
Br  0.3206  0.1526  0.7725  1 Mn 2.70, 1 Sn 2.99
Br  0.6794  0.8474  0.2275  1 Mn 2.70, 1 Sn 2.99
Br  0.7714  0.3200  0.1534  1 Mn 2.70, 1 Sn 2.99
Br  0.8475  0.2293  0.6794  1 Mn 2.70, 1 Sn 2.99

***

(9)
This record from Alexandria via LeMat-Bulk describes a geometry-optimized Pm7In4Sn structure. The functional is PBE.

## Properties
M_tot: 0.000 μB per cell
DFT formation energy: -3.7 eV/f.u.
Total DFT energy (no corrections): -4.32 eV per atom
SG: C2/m, No. 12
Calculated density: 7.2 Mg/m³

a b c (Å): 7.9116 7.9116 9.4663
angles (deg): 115.44 115.44 44.29
Closest atoms and distances in Å follow each position.
Sites, in units of the cell vectors:
Pm  0.0000  0.0000  0.0000  2 Sn 2.98, 4 In 3.11-3.29
Pm  0.2573  0.2573  0.7289  4 In 3.11-3.29, 2 Pm 3.23-3.47, 1 Sn 3.28
Pm  0.3220  0.3220  0.1304  1 Sn 3.36, 4 Pm 3.42-3.67, 3 In 3.45-3.63
Pm  0.4234  0.4234  0.5934  5 In 3.20-3.55, 3 Pm 3.23-3.44, 1 Sn 3.47
Pm  0.5766  0.5766  0.4066  5 In 3.20-3.55, 3 Pm 3.23-3.44, 1 Sn 3.47
Pm  0.6780  0.6780  0.8696  1 Sn 3.36, 4 Pm 3.42-3.67, 3 In 3.45-3.63
Pm  0.7427  0.7427  0.2711  4 In 3.11-3.29, 2 Pm 3.23-3.47, 1 Sn 3.28
In  0.0322  0.0322  0.6782  2 In 3.05-3.08, 4 Pm 3.11-3.30
In  0.1839  0.1839  0.3430  1 In 3.08, 5 Pm 3.11-3.29
In  0.8161  0.8161  0.6570  1 In 3.08, 5 Pm 3.11-3.29
In  0.9678  0.9678  0.3218  2 In 3.05-3.08, 4 Pm 3.11-3.30
Sn  0.5000  0.5000  0.0000  4 Pm 2.98-3.28

***

(10)
This record from Alexandria via LeMat-Bulk describes a geometry-optimized CuHg2Os structure. The functional is PBE.

## Properties
M_tot: 0.002 μB per cell
Energy relative to the lowest polymorph listed for this composition: 39 meV per atom
DFT formation energy: 2.5 eV/f.u.
Total DFT energy (no corrections): -3.35 eV per atom
SG: R-3m, No. 166
Calculated density: 15.8 Mg/m³

a b c (Å): 9.4053 9.4053 9.4053
angles (deg): 17.91 17.91 17.91
Closest atoms and distances in Å follow each position.
Sites, in units of the cell vectors:
Cu  0.0000  0.0000  0.0000  6 Hg 2.80, 6 Cu 2.93
Hg  0.2530  0.2530  0.2530  3 Cu 2.80, 6 Hg 2.93, 3 Os 2.93
Hg  0.7470  0.7470  0.7470  3 Cu 2.80, 6 Hg 2.93, 3 Os 2.93
Os  0.5000  0.5000  0.5000  6 Os 2.93, 6 Hg 2.93